No. 1
# Ba2InNiN (PBE, relaxed)
# - energy relative to the elements, uncorrected (eV per atom) = -0.3142
# - volume (Å³/atom) = 26.48
# - crystal system = tetragonal
# - polymorph energy (0 for the lowest one) (meV per atom) = 0
data_Ba2InNiN
_chemical_formula_sum 'Ba2 In1 Ni1 N1'
_cell_length_a 6.0736
_cell_length_b 6.0736
_cell_length_c 3.5896
_cell_angle_alpha 90.00
_cell_angle_beta 90.00
_cell_angle_gamma 90.00
_space_group_name_H-M_alt 'P 4/m m m'
_space_group_IT_number 123
_space_group_name_Hall '-P 4 2'
loop_
_atom_site_label
_atom_site_type_symbol
_atom_site_fract_x
_atom_site_fract_y
_atom_site_fract_z
Ba1 Ba 0.0000 0.5000 0.0000
In1 In 0.0000 0.0000 0.5000
Ni1 Ni 0.5000 0.5000 0.5000
N1 N 0.5000 0.5000 0.0000

***

No. 2
# CsZn3As (PBE, relaxed)
# - volume (Å³/atom) = 64.31
# - formation energy from the elements (meV per atom) = 1111
# - crystal system = cubic
# - polymorph energy (0 for the lowest one) (meV per atom) = 882
data_CsZn3As
_chemical_formula_sum 'Cs1 Zn3 As1'
_cell_length_a 6.8511
_cell_length_b 6.8511
_cell_length_c 6.8511
_cell_angle_alpha 90.00
_cell_angle_beta 90.00
_cell_angle_gamma 90.00
_space_group_name_H-M_alt 'P m -3 m'
_space_group_IT_number 221
_space_group_name_Hall '-P 4 2 3'
loop_
_atom_site_label
_atom_site_type_symbol
_atom_site_fract_x
_atom_site_fract_y
_atom_site_fract_z
Cs1 Cs 0.0000 0.0000 0.0000
Zn1 Zn 0.0000 0.0000 0.5000
As1 As 0.5000 0.5000 0.5000

***

No. 3
# Sr3Ge5O12 (PBE, relaxed)
# - energy relative to the elements, uncorrected (eV per atom) = -1.9754
# - volume (Å³/atom) = 13.45
# - crystal system = cubic
data_Sr3Ge5O12
_chemical_formula_sum 'Sr24 Ge40 O96'
_cell_length_a 12.9100
_cell_length_b 12.9100
_cell_length_c 12.9100
_cell_angle_alpha 90.00
_cell_angle_beta 90.00
_cell_angle_gamma 90.00
_space_group_name_H-M_alt 'I a -3 d'
_space_group_IT_number 230
_space_group_name_Hall '-I 4bd 2c 3'
loop_
_atom_site_label
_atom_site_type_symbol
_atom_site_fract_x
_atom_site_fract_y
_atom_site_fract_z
Sr1 Sr 0.0000 0.2500 0.1250
Ge1 Ge 0.0000 0.0000 0.0000
Ge2 Ge 0.0000 0.2500 0.3750
O1 O 0.0367 0.0479 0.6515

***

No. 4
# HoMn10Cr2 (PBE, relaxed)
# - volume (Å³/atom) = 12.29
# - formation energy from the elements (meV per atom) = 21
# - crystal system = orthorhombic
data_HoMn10Cr2
_chemical_formula_sum 'Ho4 Mn40 Cr8'
_cell_length_a 8.3578
_cell_length_b 9.5005
_cell_length_c 8.0497
_cell_angle_alpha 90.00
_cell_angle_beta 90.00
_cell_angle_gamma 90.00
_space_group_name_H-M_alt 'C m c m'
_space_group_IT_number 63
_space_group_name_Hall '-C 2c 2'
loop_
_atom_site_label
_atom_site_type_symbol
_atom_site_fract_x
_atom_site_fract_y
_atom_site_fract_z
Ho1 Ho 0.0000 0.1200 0.2500
Mn1 Mn 0.0000 0.1745 0.6061
Mn2 Mn 0.0000 0.3979 0.0711
Mn3 Mn 0.1329 0.3916 0.7500
Mn4 Mn 0.2285 0.0000 0.0000
Mn5 Mn 0.2504 0.1264 0.7500
Cr1 Cr 0.2500 0.2500 0.0000

***

No. 5
# K2Ti3S6 (PBE, relaxed)
# - energy relative to the elements, uncorrected (eV per atom) = -1.4000
# - volume (Å³/atom) = 22.06
# - crystal system = monoclinic
data_K2Ti3S6
_chemical_formula_sum 'K4 Ti6 S12'
_cell_length_a 6.0684
_cell_length_b 10.5113
_cell_length_c 7.8719
_cell_angle_alpha 90.00
_cell_angle_beta 104.90
_cell_angle_gamma 90.00
_space_group_name_H-M_alt 'C 1 2/m 1'
_space_group_IT_number 12
_space_group_name_Hall '-C 2y'
loop_
_atom_site_label
_atom_site_type_symbol
_atom_site_fract_x
_atom_site_fract_y
_atom_site_fract_z
K1 K 0.0000 0.1666 0.0000
Ti1 Ti 0.0000 0.0000 0.5000
Ti2 Ti 0.0000 0.3328 0.5000
S1 S 0.2267 0.5000 0.6866
S2 S 0.2301 0.1655 0.6867

***

No. 6
# Tb5Sm4Y2 (PBE, relaxed)
# - volume (Å³/atom) = 32.89
# - formation energy from the elements (meV per atom) = 103
# - crystal system = monoclinic
# - polymorph energy (0 for the lowest one) (meV per atom) = 0
data_Tb5Sm4Y2
_chemical_formula_sum 'Tb10 Sm8 Y4'
_cell_length_a 19.2795
_cell_length_b 5.6787
_cell_length_c 6.6107
_cell_angle_alpha 90.00
_cell_angle_beta 91.43
_cell_angle_gamma 90.00
_space_group_name_H-M_alt 'C 1 2/m 1'
_space_group_IT_number 12
_space_group_name_Hall '-C 2y'
loop_
_atom_site_label
_atom_site_type_symbol
_atom_site_fract_x
_atom_site_fract_y
_atom_site_fract_z
Tb1 Tb 0.0000 0.0000 0.0000
Tb2 Tb 0.1300 0.5000 0.8971
Tb3 Tb 0.2081 0.5000 0.4020
Sm1 Sm 0.0197 0.5000 0.2862
Sm2 Sm 0.1957 0.0000 0.0730
Y1 Y 0.0975 0.0000 0.5511

***

No. 7
# CaCo2Br (PBE, relaxed)
# - energy relative to the elements, uncorrected (eV per atom) = 0.2659
# - volume (Å³/atom) = 20.04
# - crystal system = monoclinic
# - polymorph energy (0 for the lowest one) (meV per atom) = 439
data_CaCo2Br
_chemical_formula_sum 'Ca2 Co4 Br2'
_cell_length_a 5.3711
_cell_length_b 11.2003
_cell_length_c 3.5368
_cell_angle_alpha 90.00
_cell_angle_beta 131.09
_cell_angle_gamma 90.00
_space_group_name_H-M_alt 'C 1 2/m 1'
_space_group_IT_number 12
_space_group_name_Hall '-C 2y'
loop_
_atom_site_label
_atom_site_type_symbol
_atom_site_fract_x
_atom_site_fract_y
_atom_site_fract_z
Ca1 Ca 0.0000 0.0000 0.0000
Co1 Co 0.2500 0.2500 0.5000
Br1 Br 0.0000 0.5000 0.0000

***

No. 8
# NdDy12Ni6 (PBE, relaxed)
# - volume (Å³/atom) = 25.12
# - formation energy from the elements (meV per atom) = -241
# - crystal system = cubic
data_NdDy12Ni6
_chemical_formula_sum 'Nd2 Dy24 Ni12'
_cell_length_a 9.8464
_cell_length_b 9.8464
_cell_length_c 9.8464
_cell_angle_alpha 90.00
_cell_angle_beta 90.00
_cell_angle_gamma 90.00
_space_group_name_H-M_alt 'I m -3'
_space_group_IT_number 204
_space_group_name_Hall '-I 2 2 3'
loop_
_atom_site_label
_atom_site_type_symbol
_atom_site_fract_x
_atom_site_fract_y
_atom_site_fract_z
Nd1 Nd 0.0000 0.0000 0.0000
Dy1 Dy 0.0000 0.3115 0.1844
Ni1 Ni 0.0000 0.1237 0.5000

***

No. 9
# LiInCu6 (PBE, relaxed)
# - volume (Å³/atom) = 13.39
# - formation energy from the elements (meV per atom) = -22
# - crystal system = hexagonal
data_LiInCu6
_chemical_formula_sum 'Li1 In1 Cu6'
_cell_length_a 5.3246
_cell_length_b 5.3246
_cell_length_c 4.3608
_cell_angle_alpha 90.00
_cell_angle_beta 90.00
_cell_angle_gamma 120.00
_space_group_name_H-M_alt 'P -6 m 2'
_space_group_IT_number 187
_space_group_name_Hall 'P -6 2'
loop_
_atom_site_label
_atom_site_type_symbol
_atom_site_fract_x
_atom_site_fract_y
_atom_site_fract_z
Li1 Li 0.0000 0.0000 0.0000
In1 In 0.3333 0.6667 0.5000
Cu1 Cu 0.3384 0.1692 0.5000
Cu2 Cu 0.5082 0.0165 0.0000

***

No. 10
# Ca2MgZnH (PBE, relaxed)
# - volume (Å³/atom) = 21.49
# - crystal system = tetragonal
# - polymorph energy (0 for the lowest one) (meV per atom) = 44
data_Ca2MgZnH
_chemical_formula_sum 'Ca2 Mg1 Zn1 H1'
_cell_length_a 5.0076
_cell_length_b 5.0076
_cell_length_c 4.2840
_cell_angle_alpha 90.00
_cell_angle_beta 90.00
_cell_angle_gamma 90.00
_space_group_name_H-M_alt 'P 4/m m m'
_space_group_IT_number 123
_space_group_name_Hall '-P 4 2'
loop_
_atom_site_label
_atom_site_type_symbol
_atom_site_fract_x
_atom_site_fract_y
_atom_site_fract_z
Ca1 Ca 0.0000 0.5000 0.0000
Mg1 Mg 0.0000 0.0000 0.5000
Zn1 Zn 0.5000 0.5000 0.5000
H1 H 0.5000 0.5000 0.0000

***

No. 11
# Tb4MgSc7 (PBE, relaxed)
# - volume (Å³/atom) = 27.55
# - formation energy from the elements (meV per atom) = 223
# - crystal system = monoclinic
data_Tb4MgSc7
_chemical_formula_sum 'Tb8 Mg2 Sc14'
_cell_length_a 11.4245
_cell_length_b 5.3001
_cell_length_c 11.1874
_cell_angle_alpha 90.00
_cell_angle_beta 102.60
_cell_angle_gamma 90.00
_space_group_name_H-M_alt 'C 1 2/m 1'
_space_group_IT_number 12
_space_group_name_Hall '-C 2y'
loop_
_atom_site_label
_atom_site_type_symbol
_atom_site_fract_x
_atom_site_fract_y
_atom_site_fract_z
Tb1 Tb 0.0810 0.0000 0.2678
Tb2 Tb 0.1377 0.5000 0.7782
Mg1 Mg 0.0000 0.0000 0.5000
Sc1 Sc 0.0000 0.5000 0.5000
Sc2 Sc 0.1172 0.5000 0.1051
Sc3 Sc 0.1361 0.0000 0.9740
Sc4 Sc 0.2437 0.5000 0.4008

***

No. 12
# ScOsRh2Au (PBE, relaxed)
# - volume (Å³/atom) = 22.30
# - formation energy from the elements (meV per atom) = 1628
# - crystal system = tetragonal
# - polymorph energy (0 for the lowest one) (meV per atom) = 216
data_ScOsRh2Au
_chemical_formula_sum 'Sc1 Os1 Rh2 Au1'
_cell_length_a 4.8252
_cell_length_b 4.8252
_cell_length_c 4.7885
_cell_angle_alpha 90.00
_cell_angle_beta 90.00
_cell_angle_gamma 90.00
_space_group_name_H-M_alt 'P 4/m m m'
_space_group_IT_number 123
_space_group_name_Hall '-P 4 2'
loop_
_atom_site_label
_atom_site_type_symbol
_atom_site_fract_x
_atom_site_fract_y
_atom_site_fract_z
Sc1 Sc 0.0000 0.0000 0.0000
Os1 Os 0.5000 0.5000 0.0000
Rh1 Rh 0.0000 0.5000 0.5000
Au1 Au 0.0000 0.0000 0.5000

***

No. 13
# CsPrPu2O8 (PBE, relaxed)
# - energy relative to the elements, uncorrected (eV per atom) = -2.1924
# - volume (Å³/atom) = 20.77
# - crystal system = tetragonal
data_CsPrPu2O8
_chemical_formula_sum 'Cs2 Pr2 Pu4 O16'
_cell_length_a 8.3780
_cell_length_b 8.3780
_cell_length_c 7.1016
_cell_angle_alpha 90.00
_cell_angle_beta 90.00
_cell_angle_gamma 90.00
_space_group_name_H-M_alt 'I -4 m 2'
_space_group_IT_number 119
_space_group_name_Hall 'I -4 -2'
loop_
_atom_site_label
_atom_site_type_symbol
_atom_site_fract_x
_atom_site_fract_y
_atom_site_fract_z
Cs1 Cs 0.0000 0.0000 0.0000
Pr1 Pr 0.0000 0.5000 0.2500
Pu1 Pu 0.0000 0.0000 0.5000
Pu2 Pu 0.0000 0.5000 0.7500
O1 O 0.0000 0.2147 0.3899
O2 O 0.0000 0.3432 0.9557

***

No. 14
# NaTi2Pt2 (PBE, relaxed)
# - volume (Å³/atom) = 19.93
# - formation energy from the elements (meV per atom) = -563
# - crystal system = tetragonal
# - polymorph energy (0 for the lowest one) (meV per atom) = 57
data_NaTi2Pt2
_chemical_formula_sum 'Na2 Ti4 Pt4'
_cell_length_a 4.3640
_cell_length_b 4.3640
_cell_length_c 10.4658
_cell_angle_alpha 90.00
_cell_angle_beta 90.00
_cell_angle_gamma 90.00
_space_group_name_H-M_alt 'I 4/m m m'
_space_group_IT_number 139
_space_group_name_Hall '-I 4 2'
loop_
_atom_site_label
_atom_site_type_symbol
_atom_site_fract_x
_atom_site_fract_y
_atom_site_fract_z
Na1 Na 0.0000 0.0000 0.0000
Ti1 Ti 0.0000 0.5000 0.2500
Pt1 Pt 0.0000 0.0000 0.3752

***

No. 15
# Tb4Sm2TmTh (PBE, relaxed)
# - volume (Å³/atom) = 32.35
# - formation energy from the elements (meV per atom) = 135
# - crystal system = tetragonal
data_Tb4Sm2TmTh
_chemical_formula_sum 'Tb4 Sm2 Tm1 Th1'
_cell_length_a 5.9431
_cell_length_b 5.9431
_cell_length_c 7.3270
_cell_angle_alpha 90.00
_cell_angle_beta 90.00
_cell_angle_gamma 90.00
_space_group_name_H-M_alt 'P 4/m m m'
_space_group_IT_number 123
_space_group_name_Hall '-P 4 2'
loop_
_atom_site_label
_atom_site_type_symbol
_atom_site_fract_x
_atom_site_fract_y
_atom_site_fract_z
Tb1 Tb 0.0000 0.5000 0.2498
Sm1 Sm 0.0000 0.0000 0.0000
Sm2 Sm 0.5000 0.5000 0.5000
Tm1 Tm 0.0000 0.0000 0.5000
Th1 Th 0.5000 0.5000 0.0000

***

No. 16
# MgTeCl6 (PBE, relaxed)
# - energy relative to the elements, uncorrected (eV per atom) = -0.9743
# - volume (Å³/atom) = 26.21
# - crystal system = trigonal
# - polymorph energy (0 for the lowest one) (meV per atom) = 23
data_MgTeCl6
_chemical_formula_sum 'Mg3 Te3 Cl18'
_cell_length_a 6.4604
_cell_length_b 6.4604
_cell_length_c 17.3993
_cell_angle_alpha 90.00
_cell_angle_beta 90.00
_cell_angle_gamma 120.00
_space_group_name_H-M_alt 'R -3'
_space_group_IT_number 148
_space_group_name_Hall '-R 3'
loop_
_atom_site_label
_atom_site_type_symbol
_atom_site_fract_x
_atom_site_fract_y
_atom_site_fract_z
Mg1 Mg 0.0000 0.0000 0.0000
Te1 Te 0.0000 0.0000 0.5000
Cl1 Cl 0.0015 0.6552 0.7491

***

No. 17
# ZrZnAg (PBE, relaxed)
# - volume (Å³/atom) = 22.47
# - formation energy from the elements (meV per atom) = 423
# - crystal system = cubic
data_ZrZnAg
_chemical_formula_sum 'Zr4 Zn4 Ag4'
_cell_length_a 6.4605
_cell_length_b 6.4605
_cell_length_c 6.4605
_cell_angle_alpha 90.00
_cell_angle_beta 90.00
_cell_angle_gamma 90.00
_space_group_name_H-M_alt 'F -4 3 m'
_space_group_IT_number 216
_space_group_name_Hall 'F -4 2 3'
loop_
_atom_site_label
_atom_site_type_symbol
_atom_site_fract_x
_atom_site_fract_y
_atom_site_fract_z
Zr1 Zr 0.0000 0.0000 0.0000
Zn1 Zn 0.2500 0.2500 0.2500
Ag1 Ag 0.2500 0.2500 0.7500

***

No. 18
# La2PuAgTe5 (PBE, relaxed)
# - energy relative to the elements, uncorrected (eV per atom) = -1.1632
# - volume (Å³/atom) = 31.71
# - crystal system = orthorhombic
data_La2PuAgTe5
_chemical_formula_sum 'La8 Pu4 Ag4 Te20'
_cell_length_a 4.4724
_cell_length_b 19.0688
_cell_length_c 13.3835
_cell_angle_alpha 90.00
_cell_angle_beta 90.00
_cell_angle_gamma 90.00
_space_group_name_H-M_alt 'C m c 21'
_space_group_IT_number 36
_space_group_name_Hall 'C 2c -2'
loop_
_atom_site_label
_atom_site_type_symbol
_atom_site_fract_x
_atom_site_fract_y
_atom_site_fract_z
La1 La 0.0000 0.1123 0.0000
La2 La 0.0000 0.1238 0.6220
Pu1 Pu 0.0000 0.1959 0.3227
Ag1 Ag 0.0000 0.4338 0.7713
Te1 Te 0.0000 0.0433 0.3873
Te2 Te 0.0000 0.2907 0.9830
Te3 Te 0.0000 0.3058 0.6562
Te4 Te 0.0000 0.3607 0.3146
Te5 Te 0.0000 0.4989 0.0881

***

No. 19
# Na4PAu2 (PBE, relaxed)
# - volume (Å³/atom) = 23.75
# - formation energy from the elements (meV per atom) = -308
# - crystal system = triclinic
data_Na4PAu2
_chemical_formula_sum 'Na8 P2 Au4'
_cell_length_a 6.0367
_cell_length_b 7.4298
_cell_length_c 8.8293
_cell_angle_alpha 69.87
_cell_angle_beta 70.69
_cell_angle_gamma 66.61
_space_group_name_H-M_alt 'P -1'
_space_group_IT_number 2
_space_group_name_Hall '-P 1'
loop_
_atom_site_label
_atom_site_type_symbol
_atom_site_fract_x
_atom_site_fract_y
_atom_site_fract_z
Na1 Na 0.0051 0.2003 0.2770
Na2 Na 0.0762 0.2409 0.6328
Na3 Na 0.4664 0.2591 0.8771
Na4 Na 0.4906 0.7761 0.7377
P1 P 0.3648 0.8577 0.4212
Au1 Au 0.0000 0.0000 0.0000
Au2 Au 0.1379 0.5771 0.0618
Au3 Au 0.5000 0.5000 0.5000

***

The evaluated DFT total energy for the records listed, in turn: -4.452, -0.754, -6.357, -8.865, -6.004, -4.893, -4.206, -5.224, -3.676, -2.199, -5.147, -5.480, -8.356, -6.401, -4.846, -2.951, -3.801, -5.913, -2.771 eV/atom.